Computed, not measured: a relaxed structure of SiAu2Cl at the PBE level of DFT.

Results
The space group is R3m (160). The value obtained for the formation energy without anion corrections is 66 meV/atom.

a = 7.9316 Å, b = 7.9316 Å, c = 7.9316 Å
α = 25.36°, β = 25.36°, γ = 25.36°
With the nearest neighbours (Å) after each atom.
Sites, in units of the cell vectors:
Si  0.0000  0.0000  0.0000  3 Au 2.47, 3 Cl 2.69
Au  0.4800  0.4800  0.4800  3 Au 2.80
Au  0.7289  0.7289  0.7289  3 Si 2.47
Cl  0.2554  0.2554  0.2554  3 Si 2.69



Computed, not measured: a relaxed structure of NpCd4Hg at the PBE level of DFT.

Results
The calculation puts the energy relative to the elements at 0.23 eV/atom. The space group is F-43m (216).

a = 5.9368 Å, b = 5.9368 Å, c = 5.9368 Å
α = 60.00°, β = 60.00°, γ = 60.00°
With the nearest neighbours (Å) after each atom.
Sites, in units of the cell vectors:
Np  0.0000  0.0000  0.0000  12 Cd 3.48, 4 Hg 3.64
Cd  0.3749  0.3749  0.3749  6 Cd 2.97
Cd  0.3749  0.3749  0.8754  6 Cd 2.97
Cd  0.3749  0.8754  0.3749  6 Cd 2.97
Cd  0.8754  0.3749  0.3749  6 Cd 2.97
Hg  0.7500  0.7500  0.7500  12 Cd 3.48, 4 Np 3.64



| no. | D(E_F) (states/eV/atom) |
| --- | --- |
| 1 | 0.5082 |
| 2 | 2.0564 |